Compound: CsMgN2F
Source: Alexandria via LeMat-Bulk
Functional: PBE
Structure: optimized geometry

a b c (Å): 4.3927 4.3927 4.9489
angles (deg): 90.00 90.00 90.00
Last column: nearest neighbours and their distance in Å.
Sites, in units of the cell vectors:
Cs1 0.0000 0.0000 0.0000  4 N 2.20
Mg1 0.5000 0.5000 0.5000  4 F 3.11, 8 N 3.31
N1 0.0000 0.5000 0.0000  2 Cs 2.20
N2 0.5000 0.0000 0.0000  2 Cs 2.20
F1 0.0000 0.0000 0.5000  2 Cs 2.47

Results
- Space-group type: P4/mmm, No. 123
- Formation energy (no corrections): 1.342 eV per atom

=====

Compound: RbSiTe2I
Source: Alexandria via LeMat-Bulk
Functional: PBE
Structure: optimized geometry

a b c (Å): 5.3783 5.3783 6.2038
angles (deg): 90.00 90.00 90.00
Last column: nearest neighbours and their distance in Å.
Sites, in units of the cell vectors:
I1 0.0000 0.0000 0.5000  2 Si 3.10
Si1 0.0000 0.0000 0.0000  4 Te 2.69
Te1 0.0000 0.5000 0.0000  2 Si 2.69
Te2 0.5000 0.0000 0.0000  2 Si 2.69
Rb1 0.5000 0.5000 0.5000  4 I 3.80, 8 Te 4.11

Results
- Space-group type: P4/mmm, No. 123
- Formation energy (no corrections): -0.263 eV per atom

=====

Compound: SrLa3Os
Source: Alexandria via LeMat-Bulk
Functional: PBE
Structure: optimized geometry

a b c (Å): 10.5750 10.5750 10.5750
angles (deg): 39.60 39.60 39.60
Last column: nearest neighbours and their distance in Å.
Sites, in units of the cell vectors:
Sr1 0.1679 0.1679 0.1679  6 La 4.07-4.15, 3 Sr 4.14
Sr2 0.8321 0.8321 0.8321  6 La 4.07-4.15, 3 Sr 4.14
Os1 0.3315 0.3315 0.3315  6 La 2.81-2.85
Os2 0.6685 0.6685 0.6685  6 La 2.81-2.85
La1 0.3902 0.0641 0.7057  2 Os 2.81-2.85
La2 0.0641 0.7057 0.3902  2 Os 2.81-2.85
La3 0.2943 0.6098 0.9359  2 Os 2.81-2.85
La4 0.9359 0.2943 0.6098  2 Os 2.81-2.85
La5 0.6098 0.9359 0.2943  2 Os 2.81-2.85
La6 0.7057 0.3902 0.0641  2 Os 2.81-2.85

Results
- Formation energy: 0.00 eV/atom
- Space-group type: R-3, No. 148

=====

Compound: TmZrScCu
Source: Alexandria via LeMat-Bulk
Functional: PBE
Structure: optimized geometry

a b c (Å): 3.2781 3.2781 8.1038
angles (deg): 90.00 90.00 90.00
Last column: nearest neighbours and their distance in Å.
Sites, in units of the cell vectors:
Tm1 0.5000 0.5000 0.7880  4 Cu 2.99, 4 Tm 3.28, 4 Zr 3.34
Zr1 0.0000 0.0000 0.0848  4 Sc 3.20, 4 Zr 3.28, 4 Tm 3.34
Sc1 0.5000 0.5000 0.3565  4 Cu 2.82
Cu1 0.0000 0.0000 0.5555  4 Sc 2.82, 4 Tm 2.99

Results
- Formation energy: -0.11 eV/atom
- Space-group type: P4mm, No. 99

=====

| no. | calculated volume (Å³/cell) | density of states at the Fermi level (states/eV per cell) |
| --- | --- | --- |
| 1 | 95.49 | 3.738 |
| 2 | 179.45 | 4.604 |
| 3 | 432.54 | 7.836 |
| 4 | 87.08 | 4.584 |